i:
Mn2CdO GGA+U relaxed; DOS(E_F) = 2.29 states/eV/cell; volume = 153.9 Å³ per cell
1.0
6.3176 0.0000 0.0000
0.0000 6.3176 0.0000
3.1588 3.1588 3.8569
Mn O Cd
4 2 2
direct
0.5191 0.1250 0.2500 Mn
0.2309 0.6250 0.2500 Mn
0.3750 0.4809 0.7500 Mn
0.8750 0.7691 0.7500 Mn
0.5000 0.5000 0.0000 O
0.2500 0.7500 0.5000 O
0.0000 0.0000 0.0000 Cd
0.7500 0.2500 0.5000 Cd

=====

ii:
Mn2CdO GGA+U relaxed; DOS(E_F) = 3.79 states/eV/cell; volume = 67.4 Å³ per cell
1.0
0.0000 3.2301 3.2301
3.2301 0.0000 3.2301
3.2301 3.2301 0.0000
Mn O Cd
2 1 1
direct
0.2500 0.2500 0.2500 Mn
0.7500 0.7500 0.7500 Mn
0.0000 0.0000 0.0000 O
0.5000 0.5000 0.5000 Cd

=====

Compare the structures above. Which one is the most stable? i is.